Computed, not measured: an optimized crystal structure of Ca2TaCd at the PBE level of DFT.

Fermi-level density of states: 1.08 states/eV per atom
density: 5.81 g cm⁻³
ΔE_f: 451 meV per atom

Lattice parameters (Å, degrees): 3.3213 5.5297 11.6213 90.00 90.00 90.00
Space group Imm2 (No. 44)
Unique sites:
1 Ca 0.0000 0.0000 0.0000 (multiplicity 2)
2 Ca 0.0000 0.5000 0.2078 (multiplicity 2)
3 Ta 0.0000 0.0000 0.4478 (multiplicity 2)
4 Cd 0.0000 0.5000 0.7447 (multiplicity 2)

Computed, not measured: an optimized crystal structure of Ga2CuSnSb at the PBE level of DFT.

Fermi-level density of states: 0.91 states/eV per atom
ΔE_f (raw): 13.44 kcal/mol of atoms
density: 5.26 g cm⁻³

Lattice parameters (Å, degrees): 5.4274 5.4274 4.7509 90.00 90.00 90.00
Space group P4/mmm (No. 123)
Unique sites:
1 Ga 0.0000 0.5000 0.0000 (multiplicity 2)
2 Cu 0.0000 0.0000 0.5000 (multiplicity 1)
3 Sn 0.5000 0.5000 0.5000 (multiplicity 1)
4 Sb 0.0000 0.0000 0.0000 (multiplicity 1)

- Among the records above, which one has the highest Fermi-level density of states?
  Ca2TaCd